# 1
Entry from Alexandria: crystalline La4InHg3 at its relaxed geometry (PBE).

Geometry as POSCAR:
```
La4InHg3
1.0
3.907 0.000 0.000
0.000 3.907 0.000
0.000 0.000 15.806
La In Hg
4 1 3
direct
0.000 0.000 0.124
0.000 0.000 0.372
0.000 0.000 0.628
0.000 0.000 0.876
0.500 0.500 0.500
0.500 0.500 0.000
0.500 0.500 0.249
0.500 0.500 0.751
```

Values from the calculation:
SG: P4/mmm
Electronic total energy in eV per atom: -3.421
Calculated formation energy in eV per atom: -0.502
Size of the total moment in Bohr magnetons per cell: 1.1

---

# 2
Entry from Alexandria: crystalline Na2TbInSe4 at its relaxed geometry (PBE).

Geometry as POSCAR:
```
Na2TbInSe4
1.0
7.114 0.000 0.000
0.000 4.091 0.000
-2.408 0.000 7.060
Na Tb In Se
2 1 1 4
direct
0.000 0.000 0.000
0.500 0.500 0.000
0.000 0.500 0.500
0.500 0.000 0.500
0.245 0.000 0.732
0.269 0.500 0.277
0.731 0.500 0.723
0.755 0.000 0.268
```

Values from the calculation:
SG: P2/m
Electronic total energy in eV per atom: -4.224
Size of the total moment in Bohr magnetons per cell: 0.0
Uncorrected formation energy in eV/atom: -1.23

---

# 3
Entry from Alexandria: crystalline Pm6TmSi4 at its relaxed geometry (PBE).

Geometry as POSCAR:
```
Pm6TmSi4
1.0
9.230 0.000 0.000
-4.615 7.993 0.000
0.000 0.000 4.025
Pm Tm Si
6 1 4
direct
0.195 0.390 0.000
0.195 0.805 0.000
0.541 0.082 0.500
0.541 0.459 0.500
0.610 0.805 0.000
0.918 0.459 0.500
0.000 0.000 0.500
0.324 0.162 0.000
0.333 0.667 0.500
0.838 0.162 0.000
0.838 0.676 0.000
```

Values from the calculation:
SG: P-6m2
Electronic total energy in eV per atom: -5.390
Size of the total moment in Bohr magnetons per cell: 0.0
Uncorrected formation energy in eV/atom: -0.42

---

> Which of these has the highest electronic total energy?

La4InHg3

---

Copy entry 3 word for word.
Entry from Alexandria: crystalline Pm6TmSi4 at its relaxed geometry (PBE).

Geometry as POSCAR:
```
Pm6TmSi4
1.0
9.230 0.000 0.000
-4.615 7.993 0.000
0.000 0.000 4.025
Pm Tm Si
6 1 4
direct
0.195 0.390 0.000
0.195 0.805 0.000
0.541 0.082 0.500
0.541 0.459 0.500
0.610 0.805 0.000
0.918 0.459 0.500
0.000 0.000 0.500
0.324 0.162 0.000
0.333 0.667 0.500
0.838 0.162 0.000
0.838 0.676 0.000
```

Values from the calculation:
SG: P-6m2
Electronic total energy in eV per atom: -5.390
Size of the total moment in Bohr magnetons per cell: 0.0
Uncorrected formation energy in eV/atom: -0.42

---

> What is the electronic total energy in the first record?

-3.421 eV per atom

---

> Which value of size of the total moment does entry 3 give?

0.0 Bohr magnetons per cell